(1)
Below is crystalline CaH2RuRh at its relaxed geometry, with properties calculated at the PBE level.

Unit cell a=3.7047 b=3.7047 c=5.1913 alpha=90.00 beta=90.00 gamma=90.00
Space group P4/mmm (No. 123)
Asymmetric unit:
Ca  0.0000  0.0000  0.0000 (multiplicity 1)
H  0.0000  0.5000  0.5000 (multiplicity 2)
Ru  0.5000  0.5000  0.0000 (multiplicity 1)
Rh  0.0000  0.0000  0.5000 (multiplicity 1)

Results
Final energy in eV/atom: -4.20
Crystal system: tetragonal

***

(2)
Below is crystalline KTcO3 at its relaxed geometry, with properties calculated at the PBE level.

Unit cell a=3.6081 b=15.0672 c=4.9365 alpha=90.00 beta=90.00 gamma=90.00
Space group Cmcm (No. 63)
Asymmetric unit:
K  0.0000  0.1735  0.2500 (multiplicity 4)
Tc  0.0000  0.4628  0.2500 (multiplicity 4)
O  0.0000  0.0000  0.0000 (multiplicity 4)
O  0.2031  0.1504  0.7500 (multiplicity 8)

Results
Uncorrected formation energy in meV per atom: -686.1
Final energy in eV/atom: -5.95
Crystal system: orthorhombic

***

Question: Look up the final energy of the second one.
Answer: -5.95 eV/atom

***

Question: The highest final energy belongs to which entry?
Answer: CaH2RuRh

***

Question: The lowest final energy belongs to which entry?
Answer: KTcO3